Model A:
A plane-wave DFT calculation with PBE was carried out for crystalline LiTiFe3 at its relaxed geometry.

## Properties
Space-group type: Pm-3m
N(E_F) (states/eV/f.u.): 5.4
Spin magnetization (μB per atom): 0.985

abc: 3.973 3.973 3.973
angles: 90.00 90.00 90.00
Fractional positions:
Li: 0.000 0.000 0.000
Ti: 0.500 0.500 0.500
Fe: 0.000 0.000 0.500
Fe: 0.000 0.500 0.000
Fe: 0.500 0.000 0.000



Model B:
A plane-wave DFT calculation with PBE was carried out for crystalline LiTiFe3 at its relaxed geometry.

## Properties
Space-group type: Pm-3m
N(E_F) (states/eV/f.u.): 7.3
Spin magnetization (μB per atom): 1.074

abc: 4.395 4.395 4.395
angles: 90.00 90.00 90.00
Fractional positions:
Li: 0.000 0.000 0.000
Ti: 0.500 0.500 0.500
Fe: 0.000 0.500 0.500
Fe: 0.500 0.000 0.500
Fe: 0.500 0.500 0.000



Which is the most stable structure? model A is the most stable.



Model A:
A plane-wave DFT calculation with PBE was carried out for crystalline LiTi3Fe at its relaxed geometry.

## Properties
Space-group type: Pm-3m
N(E_F) (states/eV/f.u.): 6.5
Spin magnetization (μB per atom): 0.000

abc: 4.247 4.247 4.247
angles: 90.00 90.00 90.00
Fractional positions:
Li: 0.000 0.000 0.000
Ti: 0.000 0.000 0.500
Ti: 0.000 0.500 0.000
Ti: 0.500 0.000 0.000
Fe: 0.500 0.500 0.500



Model B:
A plane-wave DFT calculation with PBE was carried out for crystalline LiTi3Fe at its relaxed geometry.

## Properties
Space-group type: Pm-3m
N(E_F) (states/eV/f.u.): 5.0
Spin magnetization (μB per atom): 0.323

abc: 4.549 4.549 4.549
angles: 90.00 90.00 90.00
Fractional positions:
Li: 0.000 0.000 0.000
Ti: 0.000 0.500 0.500
Ti: 0.500 0.000 0.500
Ti: 0.500 0.500 0.000
Fe: 0.500 0.500 0.500



Which is the most stable structure? model B is the most stable.



Model A:
A plane-wave DFT calculation with PBE was carried out for crystalline LiV2Fe at its relaxed geometry.

## Properties
Space-group type: I-42d
N(E_F) (states/eV/f.u.): 3.3
Spin magnetization (μB per atom): 0.000

abc: 5.223 5.223 5.223
angles: 103.36 103.36 122.54
Fractional positions:
Li: 0.000 0.000 0.000
Li: 0.750 0.250 0.500
V: 0.159 0.125 0.534
V: 0.375 0.841 0.966
V: 0.591 0.625 0.466
V: 0.875 0.409 0.034
Fe: 0.250 0.750 0.500
Fe: 0.500 0.500 0.000



Model B:
A plane-wave DFT calculation with PBE was carried out for crystalline LiV2Fe at its relaxed geometry.

## Properties
Space-group type: R-3m
N(E_F) (states/eV/f.u.): 4.5
Spin magnetization (μB per atom): 0.049

abc: 9.405 9.405 9.405
angles: 15.67 15.67 15.67
Fractional positions:
Li: 0.000 0.000 0.000
V: 0.093 0.093 0.093
V: 0.907 0.907 0.907
Fe: 0.500 0.500 0.500



Which is the most stable structure? model B is the most stable.



Model A:
A plane-wave DFT calculation with PBE was carried out for crystalline Li2VFe at its relaxed geometry.

## Properties
Space-group type: Fm-3m
N(E_F) (states/eV/f.u.): 4.1
Spin magnetization (μB per atom): 0.124

abc: 4.274 4.274 4.274
angles: 60.00 60.00 60.00
Fractional positions:
Li: 0.250 0.250 0.250
Li: 0.750 0.750 0.750
V: 0.000 0.000 0.000
Fe: 0.500 0.500 0.500



Model B:
A plane-wave DFT calculation with PBE was carried out for crystalline Li2VFe at its relaxed geometry.

## Properties
Space-group type: I-42d
N(E_F) (states/eV/f.u.): 4.3
Spin magnetization (μB per atom): 0.589

abc: 5.341 5.341 5.341
angles: 100.14 100.14 130.39
Fractional positions:
Li: 0.110 0.625 0.985
Li: 0.375 0.360 0.485
Li: 0.640 0.125 0.015
Li: 0.875 0.890 0.515
V: 0.250 0.750 0.500
V: 0.500 0.500 0.000
Fe: 0.000 0.000 0.000
Fe: 0.750 0.250 0.500



Which is the most stable structure? model A is the most stable.



Model A:
A plane-wave DFT calculation with PBE was carried out for crystalline LiFe3W at its relaxed geometry.

## Properties
Space-group type: Pm-3m
N(E_F) (states/eV/f.u.): 4.4
Spin magnetization (μB per atom): 0.115

abc: 3.828 3.828 3.828
angles: 90.00 90.00 90.00
Fractional positions:
Li: 0.000 0.000 0.000
Fe: 0.000 0.000 0.500
Fe: 0.000 0.500 0.000
Fe: 0.500 0.000 0.000
W: 0.500 0.500 0.500



Model B:
A plane-wave DFT calculation with PBE was carried out for crystalline LiFe3W at its relaxed geometry.

## Properties
Space-group type: Pm-3m
N(E_F) (states/eV/f.u.): 5.1
Spin magnetization (μB per atom): 0.960

abc: 4.537 4.537 4.537
angles: 90.00 90.00 90.00
Fractional positions:
Li: 0.000 0.000 0.000
Fe: 0.000 0.500 0.500
Fe: 0.500 0.000 0.500
Fe: 0.500 0.500 0.000
W: 0.500 0.500 0.500



Which is the most stable structure? model A is the most stable.



Model A:
A plane-wave DFT calculation with PBE was carried out for crystalline LiFeW at its relaxed geometry.

## Properties
Space-group type: Imm2
N(E_F) (states/eV/f.u.): 1.9
Spin magnetization (μB per atom): 0.393

abc: 4.466 4.466 4.466
angles: 146.93 125.61 65.15
Fractional positions:
Li: 0.000 0.000 0.000
Fe: 0.338 0.338 0.000
W: 0.668 0.668 0.000



Model B:
A plane-wave DFT calculation with PBE was carried out for crystalline LiFeW at its relaxed geometry.

## Properties
Space-group type: Fmm2
N(E_F) (states/eV/f.u.): 2.7
Spin magnetization (μB per atom): 0.672

abc: 6.995 6.825 2.635
angles: 82.67 75.39 21.94
Fractional positions:
Li: 0.000 0.000 0.000
Fe: 0.665 0.665 0.335
W: 0.318 0.318 0.682



Which is the most stable structure? model B is the most stable.



Model A:
A plane-wave DFT calculation with PBE was carried out for crystalline LiFeW at its relaxed geometry.

## Properties
Space-group type: F-43m
N(E_F) (states/eV/f.u.): 3.6
Spin magnetization (μB per atom): 0.000

abc: 3.987 3.987 3.987
angles: 60.00 60.00 60.00
Fractional positions:
Li: 0.000 0.000 0.000
Fe: 0.500 0.500 0.500
W: 0.250 0.250 0.250



Model B:
A plane-wave DFT calculation with PBE was carried out for crystalline LiFeW at its relaxed geometry.

## Properties
Space-group type: P3m1
N(E_F) (states/eV/f.u.): 2.1
Spin magnetization (μB per atom): 0.399

abc: 4.186 4.186 2.558
angles: 90.00 90.00 120.00
Fractional positions:
Li: 0.000 0.000 0.000
Fe: 0.333 0.667 0.717
W: 0.667 0.333 0.403



Model C:
A plane-wave DFT calculation with PBE was carried out for crystalline LiFeW at its relaxed geometry.

## Properties
Space-group type: F-43m
N(E_F) (states/eV/f.u.): 4.1
Spin magnetization (μB per atom): 0.000

abc: 3.957 3.957 3.957
angles: 60.00 60.00 60.00
Fractional positions:
Li: 0.000 0.000 0.000
Fe: 0.750 0.750 0.750
W: 0.500 0.500 0.500



Model D:
A plane-wave DFT calculation with PBE was carried out for crystalline LiFeW at its relaxed geometry.

## Properties
Space-group type: I4mm
N(E_F) (states/eV/f.u.): 2.5
Spin magnetization (μB per atom): 0.244

abc: 4.806 4.806 4.806
angles: 143.53 143.53 52.52
Fractional positions:
Li: 0.000 0.000 0.000
Fe: 0.665 0.665 0.000
W: 0.309 0.309 0.000



Which is the most stable structure? model B is the most stable.



Model A:
A plane-wave DFT calculation with PBE was carried out for crystalline Li3YFe at its relaxed geometry.

## Properties
Space-group type: Pm-3m
N(E_F) (states/eV/f.u.): 2.9
Spin magnetization (μB per atom): 0.381

abc: 4.665 4.665 4.665
angles: 90.00 90.00 90.00
Fractional positions:
Li: 0.000 0.000 0.500
Li: 0.000 0.500 0.000
Li: 0.500 0.000 0.000
Y: 0.500 0.500 0.500
Fe: 0.000 0.000 0.000



Model B:
A plane-wave DFT calculation with PBE was carried out for crystalline Li3YFe at its relaxed geometry.

## Properties
Space-group type: Pm-3m
N(E_F) (states/eV/f.u.): 25.7
Spin magnetization (μB per atom): 0.165

abc: 4.881 4.881 4.881
angles: 90.00 90.00 90.00
Fractional positions:
Li: 0.000 0.000 0.500
Li: 0.000 0.500 0.000
Li: 0.500 0.000 0.000
Y: 0.000 0.000 0.000
Fe: 0.500 0.500 0.500



Which is the most stable structure? model A is the most stable.